1.
7
Lattice="-1.647 1.647 13.914 1.647 -1.647 13.914 1.647 1.647 -13.914" Properties=species:S:1:pos:R:3 comment="Y3Mo4 (PBE, optimized geometry)" m_tot_mub_per_fu=0.00 total_energy_ev_per_atom=-8.80 space_group=I4/mmm n_ef_per_ev_atom=0.825 pbc="T T T"
Y 0.000 0.000 0.000
Y 0.000 0.000 8.519
Y 0.000 0.000 19.310
Mo 0.000 0.000 3.387
Mo 0.000 0.000 11.832
Mo 0.000 0.000 15.997
Mo 0.000 0.000 24.441



2.
4
Lattice="4.009 0.000 0.000 0.000 1.780 5.280 0.000 -1.780 5.280" Properties=species:S:1:pos:R:3 comment="Sb2IrRh (PBE, optimized geometry)" raw_formation_energy_ev_per_atom=-0.1739 m_tot_mub_per_fu=0.00 space_group=Amm2 n_ef_per_ev_atom=0.484 pbc="T T T"
Sb 0.000 0.000 0.000
Sb 2.004 0.000 3.117
Ir 0.000 0.000 7.813
Rh 2.004 0.000 5.833



3.
5
Lattice="-2.031 2.031 6.577 2.031 -2.031 6.577 2.031 2.031 -6.577" Properties=species:S:1:pos:R:3 comment="Fe2Sn2Pb (PBE, optimized geometry)" m_tot_mub_per_fu=4.65 total_energy_ev_per_atom=-5.35 space_group=I4/mmm n_ef_per_ev_atom=0.450 pbc="T T T"
Fe 2.031 0.000 3.288
Fe 0.000 2.031 3.288
Sn 0.000 0.000 1.589
Sn 0.000 0.000 11.564
Pb 0.000 0.000 6.577



4.
8
Lattice="3.851 0.000 0.000 0.000 3.851 0.000 0.000 0.000 8.950" Properties=species:S:1:pos:R:3 comment="YBi2SO4 (PBE, optimized geometry)" raw_formation_energy_ev_per_atom=-1.7146 m_tot_mub_per_fu=0.35 space_group=P4/mmm n_ef_per_ev_atom=0.505 pbc="T T T"
Y 0.000 0.000 0.000
Bi 1.926 1.926 2.561
Bi 1.926 1.926 6.389
S 0.000 0.000 4.475
O 0.000 1.926 1.392
O 0.000 1.926 7.558
O 1.926 0.000 1.392
O 1.926 0.000 7.558